No. 1
The following is a DFT calculation (PBE-GGA) of GaTeH2 after structural relaxation.

Size of the total moment: 0.00 μB per cell
Excess energy over the best structure of this formula in the dataset: 0.000 eV/atom

```
GaTeH2
1.0
3.008 0.000 0.000
-0.004 4.445 0.000
-1.480 -1.563 5.953
Ga Te H
1 1 2
Cartesian
0.000 0.000 0.000
1.523 1.235 3.905
-0.008 3.880 1.461
0.023 -0.737 5.771
```

=====

No. 2
The following is a DFT calculation (PBE-GGA) of ErTcP2Ru after structural relaxation.

Size of the total moment: 0.00 μB per cell
Calculated formation energy: -0.98 eV/atom

```
ErTcP2Ru
1.0
4.113 0.000 0.000
0.000 4.113 0.000
0.000 0.000 9.396
Er Tc P Ru
2 2 4 2
Cartesian
0.000 0.000 0.000
2.057 2.057 4.698
0.000 2.057 2.349
2.057 0.000 7.047
0.000 0.000 3.494
0.000 0.000 5.901
2.057 2.057 1.204
2.057 2.057 8.192
0.000 2.057 7.047
2.057 0.000 2.349
```